No. 1
VASP calculation (GGA-PBE) on a relaxed structure of CsYHgS3.

## Properties
Its space group is C2/m.

abc: 9.1524 9.1524 9.2485
angles: 100.84 100.84 26.11
Atoms (fractional coordinates):
1 Y 0.8333 0.8333 0.9360
2 Y 0.1667 0.1667 0.0640
3 S 0.0000 0.0000 0.0000
4 S 0.3392 0.3392 0.7426
5 S 0.6608 0.6608 0.2574
6 S 0.6756 0.6756 0.8720
7 S 0.3244 0.3244 0.1280
8 S 0.5000 0.5000 0.5000
9 Hg 0.4867 0.4867 0.7741
10 Hg 0.5133 0.5133 0.2259
11 Cs 0.8490 0.8490 0.4378
12 Cs 0.1510 0.1510 0.5622

=====

No. 2
VASP calculation (GGA-PBE) on a relaxed structure of Zr3PtS.

## Properties
Its space group is Cmcm.

abc: 6.1037 6.1037 9.4623
angles: 90.00 90.00 145.50
Atoms (fractional coordinates):
1 Zr 0.8537 0.1463 0.5656
2 Zr 0.1463 0.8537 0.0656
3 Zr 0.1463 0.8537 0.4344
4 Zr 0.8537 0.1463 0.9344
5 Zr 0.4309 0.5691 0.2500
6 Zr 0.5691 0.4309 0.7500
7 S 0.5000 0.5000 0.0000
8 S 0.5000 0.5000 0.5000
9 Pt 0.7520 0.2480 0.2500
10 Pt 0.2480 0.7520 0.7500

=====

No. 3
VASP calculation (GGA-PBE) on a relaxed structure of Zn2P2Se7.

## Properties
Its space group is C2.

abc: 6.3697 6.3697 8.6920
angles: 102.39 102.39 55.53
Atoms (fractional coordinates):
1 P 0.9204 0.9164 0.7883
2 P 0.0836 0.0796 0.2117
3 Se 0.7609 0.2391 0.0000
4 Se 0.1800 0.7160 0.2720
5 Se 0.6019 0.1335 0.5953
6 Se 0.2840 0.8200 0.7280
7 Se 0.4136 0.0577 0.1483
8 Se 0.8665 0.3981 0.4047
9 Se 0.9423 0.5864 0.8517
10 Zn 0.1825 0.2232 0.6514
11 Zn 0.7768 0.8175 0.3486

=====

No. 4
VASP calculation (GGA-PBE) on a relaxed structure of BaCd2BiP.

## Properties
Its space group is P3m1.

abc: 4.7103 4.7103 7.9486
angles: 90.00 90.00 120.00
Atoms (fractional coordinates):
1 Cd 0.3333 0.6667 0.6396
2 Cd 0.6667 0.3333 0.3936
3 Ba 0.0000 0.0000 0.9697
4 P 0.6667 0.3333 0.7390
5 Bi 0.3333 0.6667 0.2581

=====

Record order is preserved below.
VASP energy: -4.50 -8.27 -3.68 -3.10 eV per atom